# PBE PuPaCdO6, relaxed
# - D(E_F) (states/eV/cell) = 20.47
# - uncorrected formation energy (eV per formula unit) = -24.2
# - uncorrected energy (eV/atom) = -8.739
data_PuPaCdO6
_chemical_formula_sum 'Pu2 Pa2 Cd2 O12'
_space_group_name_H-M_alt 'P 42 n m'
_space_group_IT_number 102
_cell_length_a 5.1434
_cell_length_b 5.1434
_cell_length_c 10.3820
_cell_angle_alpha 90.00
_cell_angle_beta 90.00
_cell_angle_gamma 90.00
loop_
_space_group_symop_operation_xyz
'x,y,z'
'-y+1/2,x+1/2,z+1/2'
'-x,-y,z'
'y+1/2,-x+1/2,z+1/2'
'-x+1/2,y+1/2,z+1/2'
'y,x,z'
'x+1/2,-y+1/2,z+1/2'
'-y,-x,z'
loop_
_atom_site_label
_atom_site_fract_x
_atom_site_fract_y
_atom_site_fract_z
Pu1 0.0000 0.0000 0.0000
Pa1 0.0000 0.0000 0.6624
Cd1 0.0000 0.0000 0.3315
O1 0.1779 0.1779 0.8342
O2 0.1992 0.1992 0.1532
O3 0.2039 0.2039 0.5081